Density functional theory data (GGA-PBE) for a geometry-optimized U2CoH structure.

Structure (CIF):
```
data_U2CoH
_chemical_formula_sum 'U6 Co3 H3'
_space_group_name_H-M_alt 'R -3 m'
_space_group_IT_number 166
_space_group_name_Hall '-R 3 2"'
_cell_length_a 3.1629
_cell_length_b 3.1629
_cell_length_c 20.5771
_cell_angle_alpha 90.00
_cell_angle_beta 90.00
_cell_angle_gamma 120.00
loop_
_atom_site_label
_atom_site_fract_x
_atom_site_fract_y
_atom_site_fract_z
_atom_site_occupancy
U1 0.0000 0.0000 0.2416 1
Co1 0.0000 0.0000 0.0000 1
H1 0.0000 0.0000 0.5000 1
```

Calculated values
The density comes out at 14.978 Mg/m³. As for the crystal system: trigonal. The calculation puts the energy at -98.22 eV for the cell shown.

=====

Density functional theory data (GGA-PBE) for a geometry-optimized TlNi4Pt structure.

Structure (CIF):
```
data_TlNi4Pt
_chemical_formula_sum 'Tl4 Ni16 Pt4'
_space_group_name_H-M_alt 'F -4 3 m'
_space_group_IT_number 216
_space_group_name_Hall 'F -4 2 3'
_cell_length_a 6.8540
_cell_length_b 6.8540
_cell_length_c 6.8540
_cell_angle_alpha 90.00
_cell_angle_beta 90.00
_cell_angle_gamma 90.00
loop_
_atom_site_label
_atom_site_fract_x
_atom_site_fract_y
_atom_site_fract_z
_atom_site_occupancy
Tl1 0.0000 0.0000 0.0000 1
Ni1 0.1243 0.1243 0.6243 1
Pt1 0.2500 0.2500 0.2500 1
```

Calculated values
As for the energy of formation from the pure elements: 0.80 eV/f.u. The density comes out at 13.084 Mg/m³. As for the crystal system: cubic. The calculation puts the energy at -122.94 eV for the cell shown.

=====

Density functional theory data (GGA-PBE) for a geometry-optimized As2IrPt structure.

Structure (CIF):
```
data_As2IrPt
_chemical_formula_sum 'As2 Ir1 Pt1'
_space_group_name_H-M_alt 'P 1 m 1'
_space_group_IT_number 6
_space_group_name_Hall 'P -2y'
_cell_length_a 2.8506
_cell_length_b 3.8258
_cell_length_c 7.1344
_cell_angle_alpha 90.00
_cell_angle_beta 100.20
_cell_angle_gamma 90.00
loop_
_atom_site_label
_atom_site_fract_x
_atom_site_fract_y
_atom_site_fract_z
_atom_site_occupancy
As1 0.0000 0.0000 0.0000 1
As2 0.2561 0.5000 0.5874 1
Ir1 0.0904 0.5000 0.2114 1
Pt1 0.6876 0.0000 0.4305 1
```

Calculated values
As for the energy of formation from the pure elements: -0.04 eV/f.u. The density comes out at 11.648 Mg/m³. As for the crystal system: monoclinic. The calculation puts the energy at -24.25 eV for the cell shown. The energy above the most stable polymorph in this dataset is 73.5 meV per atom.

=====

Density functional theory data (GGA-PBE) for a geometry-optimized BaGa2ReSn structure.

Structure (CIF):
```
data_BaGa2ReSn
_chemical_formula_sum 'Ba1 Ga2 Re1 Sn1'
_space_group_name_H-M_alt 'P 4/m m m'
_space_group_IT_number 123
_space_group_name_Hall '-P 4 2'
_cell_length_a 4.9784
_cell_length_b 4.9784
_cell_length_c 5.1921
_cell_angle_alpha 90.00
_cell_angle_beta 90.00
_cell_angle_gamma 90.00
loop_
_atom_site_label
_atom_site_fract_x
_atom_site_fract_y
_atom_site_fract_z
_atom_site_occupancy
Ba1 0.0000 0.0000 0.0000 1
Ga1 0.0000 0.5000 0.5000 1
Re1 0.5000 0.5000 0.5000 1
Sn1 0.5000 0.5000 0.0000 1
```

Calculated values
As for the energy of formation from the pure elements: -1.16 eV/f.u. The density comes out at 7.506 Mg/m³. As for the crystal system: tetragonal. The calculation puts the energy at -25.58 eV for the cell shown.

=====

Density functional theory data (GGA-PBE) for a geometry-optimized Pa2InSn2 structure.

Structure (CIF):
```
data_Pa2InSn2
_chemical_formula_sum 'Pa4 In2 Sn4'
_space_group_name_H-M_alt 'P 63/m m c'
_space_group_IT_number 194
_space_group_name_Hall '-P 6c 2c'
_cell_length_a 5.0040
_cell_length_b 5.0040
_cell_length_c 12.3830
_cell_angle_alpha 90.00
_cell_angle_beta 90.00
_cell_angle_gamma 120.00
loop_
_atom_site_label
_atom_site_fract_x
_atom_site_fract_y
_atom_site_fract_z
_atom_site_occupancy
Pa1 0.3333 0.6667 0.1033 1
In1 0.0000 0.0000 0.2500 1
Sn1 0.0000 0.0000 0.0000 1
Sn2 0.3333 0.6667 0.7500 1
```

Calculated values
As for the energy of formation from the pure elements: 0.17 eV/f.u. The density comes out at 10.071 Mg/m³. As for the crystal system: hexagonal. The calculation puts the energy at -59.13 eV for the cell shown.

=====

Density functional theory data (GGA-PBE) for a geometry-optimized CaZn structure.

Structure (CIF):
```
data_CaZn
_chemical_formula_sum 'Ca2 Zn2'
_space_group_name_H-M_alt 'P 63/m m c'
_space_group_IT_number 194
_space_group_name_Hall '-P 6c 2c'
_cell_length_a 5.2065
_cell_length_b 5.2065
_cell_length_c 4.7246
_cell_angle_alpha 90.00
_cell_angle_beta 90.00
_cell_angle_gamma 120.00
loop_
_atom_site_label
_atom_site_fract_x
_atom_site_fract_y
_atom_site_fract_z
_atom_site_occupancy
Ca1 0.3333 0.6667 0.2500 1
Zn1 0.0000 0.0000 0.0000 1
```

Calculated values
As for the energy of formation from the pure elements: -0.31 eV/f.u. The density comes out at 3.159 Mg/m³. As for the crystal system: hexagonal. The calculation puts the energy at -7.17 eV for the cell shown.

=====

Density functional theory data (GGA-PBE) for a geometry-optimized AcEuPuPb structure.

Structure (CIF):
```
data_AcEuPuPb
_chemical_formula_sum 'Ac4 Eu4 Pu4 Pb4'
_space_group_name_H-M_alt 'F -4 3 m'
_space_group_IT_number 216
_space_group_name_Hall 'F -4 2 3'
_cell_length_a 8.0508
_cell_length_b 8.0508
_cell_length_c 8.0508
_cell_angle_alpha 90.00
_cell_angle_beta 90.00
_cell_angle_gamma 90.00
loop_
_atom_site_label
_atom_site_fract_x
_atom_site_fract_y
_atom_site_fract_z
_atom_site_occupancy
Ac1 0.0000 0.0000 0.0000 1
Eu1 0.2500 0.2500 0.7500 1
Pu1 0.2500 0.2500 0.2500 1
Pb1 0.0000 0.0000 0.5000 1
```

Calculated values
As for the energy of formation from the pure elements: 0.10 eV/f.u. The density comes out at 10.567 Mg/m³. As for the crystal system: cubic. The calculation puts the energy at -129.30 eV for the cell shown.

=====

Density functional theory data (GGA-PBE) for a geometry-optimized TaBAs2Se structure.

Structure (CIF):
```
data_TaBAs2Se
_chemical_formula_sum 'Ta1 B1 As2 Se1'
_space_group_name_H-M_alt 'P 4/m m m'
_space_group_IT_number 123
_space_group_name_Hall '-P 4 2'
_cell_length_a 5.0196
_cell_length_b 5.0196
_cell_length_c 4.9703
_cell_angle_alpha 90.00
_cell_angle_beta 90.00
_cell_angle_gamma 90.00
loop_
_atom_site_label
_atom_site_fract_x
_atom_site_fract_y
_atom_site_fract_z
_atom_site_occupancy
Ta1 0.0000 0.0000 0.0000 1
B1 0.5000 0.5000 0.5000 1
As1 0.0000 0.5000 0.0000 1
Se1 0.0000 0.0000 0.5000 1
```

Calculated values
The density comes out at 5.576 Mg/m³. As for the crystal system: tetragonal. The uncorrected formation energy is 1.075 eV/atom. The calculation puts the energy at -25.94 eV for the cell shown. The energy above the most stable polymorph in this dataset is 212.7 meV per atom.

=====

energy of number 3 (As2IrPt)? -24.25 eV for the cell shown

=====

The lowest energy belongs to which entry? AcEuPuPb

=====

What did the fifth record say?
Density functional theory data (GGA-PBE) for a geometry-optimized Pa2InSn2 structure.

Structure (CIF):
```
data_Pa2InSn2
_chemical_formula_sum 'Pa4 In2 Sn4'
_space_group_name_H-M_alt 'P 63/m m c'
_space_group_IT_number 194
_space_group_name_Hall '-P 6c 2c'
_cell_length_a 5.0040
_cell_length_b 5.0040
_cell_length_c 12.3830
_cell_angle_alpha 90.00
_cell_angle_beta 90.00
_cell_angle_gamma 120.00
loop_
_atom_site_label
_atom_site_fract_x
_atom_site_fract_y
_atom_site_fract_z
_atom_site_occupancy
Pa1 0.3333 0.6667 0.1033 1
In1 0.0000 0.0000 0.2500 1
Sn1 0.0000 0.0000 0.0000 1
Sn2 0.3333 0.6667 0.7500 1
```

Calculated values
As for the energy of formation from the pure elements: 0.17 eV/f.u. The density comes out at 10.071 Mg/m³. As for the crystal system: hexagonal. The calculation puts the energy at -59.13 eV for the cell shown.

=====

Which formula does entry 6 have? CaZn